No. 1
VASP calculation (GGA-PBE) on crystalline IrWAu2 at its relaxed geometry.

Results
**Energy relative to the elements**: 0.409 eV/atom
**Space-group type**: Pmmm (47)
**Crystal system**: orthorhombic
**Total magnetization**: 0.00 μB per formula unit

```
IrWAu2
1.0
2.8898 0.0000 0.0000
0.0000 4.2207 0.0000
0.0000 0.0000 5.3862
Ir W Au
1 1 2
Direct
0.0000 0.0000 0.0000
0.0000 0.0000 0.5000
0.5000 0.5000 0.2526
0.5000 0.5000 0.7474
```

=====

No. 2
VASP calculation (GGA-PBE) on crystalline Ir2WAu at its relaxed geometry.

Results
**Energy relative to the elements**: 0.037 eV/atom
**Space-group type**: I4/mmm (139)
**Crystal system**: tetragonal
**Total magnetization**: 0.00 μB per formula unit

```
Ir2WAu
1.0
-2.0052 2.0052 3.8583
2.0052 -2.0052 3.8583
2.0052 2.0052 -3.8583
Ir W Au
2 1 1
Direct
0.2500 0.7500 0.5000
0.7500 0.2500 0.5000
0.0000 0.0000 0.0000
0.5000 0.5000 0.0000
```

=====

No. 3
VASP calculation (GGA-PBE) on crystalline Ir2WAu at its relaxed geometry.

Results
**Energy relative to the elements**: 0.165 eV/atom
**Space-group type**: I-4m2 (119)
**Crystal system**: tetragonal
**Total magnetization**: 0.00 μB per formula unit

```
Ir2WAu
1.0
-1.9505 1.9505 4.0888
1.9505 -1.9505 4.0888
1.9505 1.9505 -4.0888
Ir W Au
2 1 1
Direct
0.0000 0.0000 0.0000
0.7500 0.2500 0.5000
0.5000 0.5000 0.0000
0.2500 0.7500 0.5000
```

=====

No. 4
VASP calculation (GGA-PBE) on crystalline Ir3WAu at its relaxed geometry.

Results
**Energy relative to the elements**: 1.660 eV/atom
**Space-group type**: Pm-3m (221)
**Crystal system**: cubic
**Total magnetization**: 0.00 μB per formula unit

```
Ir3WAu
1.0
4.7357 0.0000 0.0000
0.0000 4.7357 0.0000
0.0000 0.0000 4.7357
Ir W Au
3 1 1
Direct
0.0000 0.0000 0.5000
0.0000 0.5000 0.0000
0.5000 0.0000 0.0000
0.0000 0.0000 0.0000
0.5000 0.5000 0.5000
```

=====

What did the fourth record say?
VASP calculation (GGA-PBE) on crystalline Ir3WAu at its relaxed geometry.

Results
**Energy relative to the elements**: 1.660 eV/atom
**Space-group type**: Pm-3m (221)
**Crystal system**: cubic
**Total magnetization**: 0.00 μB per formula unit

```
Ir3WAu
1.0
4.7357 0.0000 0.0000
0.0000 4.7357 0.0000
0.0000 0.0000 4.7357
Ir W Au
3 1 1
Direct
0.0000 0.0000 0.5000
0.0000 0.5000 0.0000
0.5000 0.0000 0.0000
0.0000 0.0000 0.0000
0.5000 0.5000 0.5000
```